Record 1
Here is KYHgO3 after structural relaxation from OQMD via LeMat-Bulk. Energies are from PBE.

Lattice parameters (Å, degrees): 7.010 7.010 8.951 90.00 90.00 29.70
Fractional positions:
Hg (0.615, 0.615, 0.250)
Hg (0.385, 0.385, 0.750)
K (0.325, 0.325, 0.250)
K (0.675, 0.675, 0.750)
O (0.610, 0.610, 0.022)
O (0.972, 0.972, 0.250)
O (0.610, 0.610, 0.478)
O (0.390, 0.390, 0.522)
O (0.028, 0.028, 0.750)
O (0.390, 0.390, 0.978)
Y (0.000, 0.000, 0.000)
Y (0.000, 0.000, 0.500)

Values from the calculation:
- size of the total moment (μB per cell) = 0.00
- symmetry = Cmcm
- uncorrected energy (eV/atom) = -5.656


Record 2
Here is KZrHg3O4 after structural relaxation from OQMD via LeMat-Bulk. Energies are from PBE.

Lattice parameters (Å, degrees): 5.993 5.993 5.993 90.00 90.00 90.00
Fractional positions:
Hg (0.500, 0.500, 0.000)
Hg (0.500, 0.000, 0.500)
Hg (0.000, 0.500, 0.500)
K (0.000, 0.000, 0.000)
O (0.304, 0.304, 0.304)
O (0.696, 0.696, 0.304)
O (0.696, 0.304, 0.696)
O (0.304, 0.696, 0.696)
Zr (0.500, 0.500, 0.500)

Values from the calculation:
- size of the total moment (μB per cell) = 0.00
- symmetry = P-43m
- uncorrected energy (eV/atom) = -4.435


Record 3
Here is KHgOs after structural relaxation from OQMD via LeMat-Bulk. Energies are from PBE.

Lattice parameters (Å, degrees): 4.937 4.937 4.937 60.00 60.00 60.00
Fractional positions:
Hg (0.250, 0.250, 0.250)
K (0.750, 0.750, 0.750)
Os (0.000, 0.000, 0.000)

Values from the calculation:
- size of the total moment (μB per cell) = 2.43
- symmetry = F-43m
- excess energy over the best structure of this formula in the dataset (meV per atom) = 0.0
- uncorrected energy (eV/atom) = -2.629


Record 4
Here is KHgOs after structural relaxation from OQMD via LeMat-Bulk. Energies are from PBE.

Lattice parameters (Å, degrees): 5.376 5.376 5.376 60.00 60.00 60.00
Fractional positions:
Hg (0.250, 0.250, 0.250)
K (0.000, 0.000, 0.000)
Os (0.750, 0.750, 0.750)

Values from the calculation:
- size of the total moment (μB per cell) = 3.02
- symmetry = F-43m
- excess energy over the best structure of this formula in the dataset (meV per atom) = 440.1
- uncorrected energy (eV/atom) = -2.189


Record 5
Here is KHg3OsS4 after structural relaxation from OQMD via LeMat-Bulk. Energies are from PBE.

Lattice parameters (Å, degrees): 7.378 7.378 7.378 90.00 90.00 90.00
Fractional positions:
Hg (0.500, 0.500, 0.000)
Hg (0.500, 0.000, 0.500)
Hg (0.000, 0.500, 0.500)
K (0.000, 0.000, 0.000)
Os (0.500, 0.500, 0.500)
S (0.330, 0.330, 0.330)
S (0.670, 0.670, 0.330)
S (0.670, 0.330, 0.670)
S (0.330, 0.670, 0.670)

Values from the calculation:
- size of the total moment (μB per cell) = 0.00
- symmetry = P-43m
- uncorrected energy (eV/atom) = -3.392


Record 6
Here is KHg3OsSe4 after structural relaxation from OQMD via LeMat-Bulk. Energies are from PBE.

Lattice parameters (Å, degrees): 7.529 7.529 7.529 90.00 90.00 90.00
Fractional positions:
Hg (0.500, 0.500, 0.000)
Hg (0.500, 0.000, 0.500)
Hg (0.000, 0.500, 0.500)
K (0.000, 0.000, 0.000)
Os (0.500, 0.500, 0.500)
Se (0.323, 0.323, 0.323)
Se (0.677, 0.677, 0.323)
Se (0.677, 0.323, 0.677)
Se (0.323, 0.677, 0.677)

Values from the calculation:
- size of the total moment (μB per cell) = 0.01
- symmetry = P-43m
- uncorrected energy (eV/atom) = -3.101


Record 7
Here is KHgPb after structural relaxation from OQMD via LeMat-Bulk. Energies are from PBE.

Lattice parameters (Å, degrees): 5.372 5.372 5.372 60.00 60.00 60.00
Fractional positions:
Hg (0.000, 0.000, 0.000)
K (0.250, 0.250, 0.250)
Pb (0.750, 0.750, 0.750)

Values from the calculation:
- symmetry = F-43m
- excess energy over the best structure of this formula in the dataset (meV per atom) = 0.0
- uncorrected energy (eV/atom) = -1.749


Record 8
Here is KHgPb after structural relaxation from OQMD via LeMat-Bulk. Energies are from PBE.

Lattice parameters (Å, degrees): 5.569 5.569 5.569 60.00 60.00 60.00
Fractional positions:
Hg (0.250, 0.250, 0.250)
K (0.000, 0.000, 0.000)
Pb (0.750, 0.750, 0.750)

Values from the calculation:
- symmetry = F-43m
- excess energy over the best structure of this formula in the dataset (meV per atom) = 371.2
- uncorrected energy (eV/atom) = -1.378


Record 9
Here is K2HgSb2Pb after structural relaxation from OQMD via LeMat-Bulk. Energies are from PBE.

Lattice parameters (Å, degrees): 4.840 4.840 10.891 90.00 90.00 120.00
Fractional positions:
Hg (0.000, 0.000, 0.995)
K (0.667, 0.333, 0.238)
K (0.667, 0.333, 0.766)
Pb (0.333, 0.667, 0.569)
Sb (0.000, 0.000, 0.440)
Sb (0.333, 0.667, 0.993)

Values from the calculation:
- symmetry = P3m1
- uncorrected energy (eV/atom) = -2.713


Record 10
Here is KHg3Te4Pb after structural relaxation from OQMD via LeMat-Bulk. Energies are from PBE.

Lattice parameters (Å, degrees): 7.336 7.336 7.336 90.00 90.00 90.00
Fractional positions:
Hg (0.500, 0.500, 0.000)
Hg (0.500, 0.000, 0.500)
Hg (0.000, 0.500, 0.500)
K (0.000, 0.000, 0.000)
Pb (0.500, 0.500, 0.500)
Te (0.263, 0.263, 0.263)
Te (0.737, 0.737, 0.263)
Te (0.737, 0.263, 0.737)
Te (0.263, 0.737, 0.737)

Values from the calculation:
- symmetry = P-43m
- uncorrected energy (eV/atom) = -2.225


Record 11
Here is KHg6Pd6 after structural relaxation from OQMD via LeMat-Bulk. Energies are from PBE.

Lattice parameters (Å, degrees): 7.378 7.378 7.378 134.25 101.54 95.86
Fractional positions:
Hg (0.339, 0.339, 0.000)
Hg (0.661, 0.661, 0.000)
Hg (0.332, 0.000, 0.332)
Hg (0.825, 0.325, 0.500)
Hg (0.175, 0.675, 0.500)
Hg (0.668, 0.000, 0.668)
K (0.000, 0.000, 0.000)
Pd (0.500, 0.000, 0.000)
Pd (0.000, 0.500, 0.000)
Pd (0.753, 0.500, 0.253)
Pd (0.000, 0.000, 0.500)
Pd (0.500, 0.500, 0.500)
Pd (0.247, 0.500, 0.747)

Values from the calculation:
- symmetry = Immm
- uncorrected energy (eV/atom) = -2.837


Record 12
Here is KHg3PdSe4 after structural relaxation from OQMD via LeMat-Bulk. Energies are from PBE.

Lattice parameters (Å, degrees): 6.627 6.627 6.627 90.00 90.00 90.00
Fractional positions:
Hg (0.500, 0.500, 0.000)
Hg (0.500, 0.000, 0.500)
Hg (0.000, 0.500, 0.500)
K (0.000, 0.000, 0.000)
Pd (0.500, 0.500, 0.500)
Se (0.273, 0.273, 0.273)
Se (0.727, 0.727, 0.273)
Se (0.727, 0.273, 0.727)
Se (0.273, 0.727, 0.727)

Values from the calculation:
- symmetry = P-43m
- uncorrected energy (eV/atom) = -2.523


- Which of these has the highest uncorrected energy?
  number 8


Copy entry 4 word for word.
Here is KHgOs after structural relaxation from OQMD via LeMat-Bulk. Energies are from PBE.

Lattice parameters (Å, degrees): 5.376 5.376 5.376 60.00 60.00 60.00
Fractional positions:
Hg (0.250, 0.250, 0.250)
K (0.000, 0.000, 0.000)
Os (0.750, 0.750, 0.750)

Values from the calculation:
- size of the total moment (μB per cell) = 3.02
- symmetry = F-43m
- excess energy over the best structure of this formula in the dataset (meV per atom) = 440.1
- uncorrected energy (eV/atom) = -2.189


- What is the uncorrected energy in the fourth record?
  -2.189 eV/atom